Below is Y2ReCl after structural relaxation, with properties calculated at the GGA-PBE level.

Cell: 3.5172 3.4240 8.0489 Å, 90.00 90.21 90.00°
With the nearest neighbours (Å) after each atom.
Space group P2/m (No. 10)
Asymmetric unit:
Y1 0.0029 0.0000 0.2063 [2 per cell]  2 Cl 2.92, 4 Re 2.96-2.97
Re1 0.5000 0.5000 0.0000 [1 per cell]  8 Y 2.96-2.97
Cl1 0.0000 0.5000 0.5000 [1 per cell]  4 Y 2.92

Results
E_form (uncorrected) (kcal/mol of atoms): -14.74
Calculated total energy (eV/atom): -7.445
Volume (Å³/cell): 97
Density (g/cm3): 6.84
Relative energy among the computed polymorphs (kcal/mol of atoms): 0.00

***

Below is AcCePbO2 after structural relaxation, with properties calculated at the GGA-PBE level.

Cell: 4.0746 4.0746 14.4198 Å, 90.00 90.00 90.00°
With the nearest neighbours (Å) after each atom.
Space group I4mm (No. 107)
Asymmetric unit:
Ac1 0.0000 0.0000 0.0000 [2 per cell]  4 O 2.48
Ce1 0.0000 0.0000 0.6741 [2 per cell]  4 O 2.31
Pb1 0.0000 0.0000 0.3325 [2 per cell]  4 Ce 3.68, 4 Ac 3.76, 4 O 3.95, 4 Pb 4.07
O1 0.0000 0.5000 0.0981 [4 per cell]  2 Ce 2.31, 2 Ac 2.48

Results
E_form (uncorrected) (kcal/mol of atoms): -56.78
Calculated total energy (eV/atom): -7.196
Volume (Å³/cell): 239
Density (g/cm3): 8.41

***

Below is Pr2Dy3Y6Mg after structural relaxation, with properties calculated at the GGA-PBE level.

Cell: 6.1676 10.6900 11.8233 Å, 90.00 100.08 90.00°
With the nearest neighbours (Å) after each atom.
Space group C2/m (No. 12)
Asymmetric unit:
Pr1 0.0000 0.1663 0.0000 [4 per cell]  3 Pr 3.56-3.57, 3 Mg 3.56-3.57, 6 Y 3.58-3.59
Dy1 0.0000 0.0000 0.5000 [2 per cell]  6 Y 3.54-3.55, 6 Dy 3.55-3.58
Dy2 0.0000 0.3346 0.5000 [4 per cell]  6 Y 3.53-3.56, 6 Dy 3.54-3.58
Y1 0.2475 0.5000 0.7474 [4 per cell]  3 Dy 3.53-3.55, 6 Y 3.54-3.58, 1 Mg 3.58, 2 Pr 3.59
Y2 0.2489 0.3346 0.2516 [8 per cell]  6 Y 3.54-3.58, 3 Dy 3.54-3.56, 1 Mg 3.57, 2 Pr 3.58-3.59
Mg1 0.0000 0.5000 0.0000 [2 per cell]  6 Pr 3.56-3.57, 6 Y 3.57-3.58

Results
Calculated total energy (eV/atom): -5.291
Volume (Å³/cell): 768
Density (g/cm3): 5.74
ΔE_f (eV per formula unit): 0.2

***

Below is PuNpPbO6 after structural relaxation, with properties calculated at the GGA-PBE level.

Cell: 5.8992 5.8992 10.1133 Å, 90.00 90.00 120.00°
With the nearest neighbours (Å) after each atom.
Space group P-31c (No. 163)
Asymmetric unit:
Pu1 0.3333 0.6667 0.2500 [2 per cell]  6 O 2.20
Np1 0.3333 0.6667 0.7500 [2 per cell]  6 O 2.11
Pb1 0.0000 0.0000 0.0000 [2 per cell]  6 O 2.62
O1 0.0115 0.3746 0.6446 [12 per cell]  1 Np 2.11, 1 Pu 2.20

Results
E_form (uncorrected) (kcal/mol of atoms): -56.97
Calculated total energy (eV/atom): -9.218
Volume (Å³/cell): 305
Density (g/cm3): 8.54